The following is a DFT calculation (GGA-PBE) of an optimized crystal structure of Ca3Pm2Rh2.

a = 4.0231 Å, b = 6.6727 Å, c = 8.8116 Å
α = 106.76°, β = 103.21°, γ = 107.52°
Fractional positions:
Ca (0.8010, 0.1729, 0.4293)
Pm (0.6498, 0.4798, 0.8201)
Pm (0.3502, 0.5202, 0.1799)
Ca (0.5000, 0.0000, 0.0000)
Rh (0.0104, 0.8254, 0.1947)
Rh (0.9896, 0.1746, 0.8053)
Ca (0.1990, 0.8271, 0.5707)

Properties
As for the space group: C2/m. As for the spin magnetization: 0.00 μB per atom. The value obtained for the energy of formation from the pure elements is -435 meV per atom. The crystal system is monoclinic. The raw total energy is -33.25 eV for the cell shown.